Here is an optimized crystal structure of HfHgOs from the Open Quantum Materials Database. Energies are from PBE.

Cell lengths 4.519, 4.519, 4.519 Å; angles 60.00, 60.00, 60.00 degrees
Fractional positions:
1 Hf 0.000 0.000 0.000
2 Hg 0.750 0.750 0.750
3 Os 0.250 0.250 0.250

Properties
SG: F-43m (216)
Theoretical density in Mg/m³: 14.5



Here is an optimized crystal structure of HfHgOs from the Open Quantum Materials Database. Energies are from PBE.

Cell lengths 4.517, 4.517, 4.517 Å; angles 60.00, 60.00, 60.00 degrees
Fractional positions:
1 Hf 0.000 0.000 0.000
2 Hg 0.500 0.500 0.500
3 Os 0.250 0.250 0.250

Properties
SG: F-43m (216)
Theoretical density in Mg/m³: 14.5



Here is an optimized crystal structure of Hf3HgP from the Open Quantum Materials Database. Energies are from PBE.

Cell lengths 6.100, 6.100, 9.761 Å; angles 90.00, 90.00, 145.41 degrees
Fractional positions:
1 Hf 0.042 0.958 0.750
2 Hf 0.358 0.642 0.553
3 Hf 0.358 0.642 0.947
4 Hf 0.642 0.358 0.053
5 Hf 0.642 0.358 0.447
6 Hf 0.958 0.042 0.250
7 Hg 0.257 0.743 0.250
8 Hg 0.743 0.257 0.750
9 P 0.000 0.000 0.000
10 P 0.000 0.000 0.500

Properties
SG: Cmcm (63)
Theoretical density in Mg/m³: 12.4



Number 1: uncorrected energy -6.6284 eV per atom. Number 2: uncorrected energy -6.8768 eV per atom. Number 3: uncorrected energy -7.6557 eV per atom.